a.
! SmDyZnGe, relaxed, DFT GGA-PBE; values from VASP
! - Size of the total moment: 0.43 μB/f.u.
&SYSTEM
  ibrav = 0, nat = 4, ntyp = 4
/
ATOMIC_SPECIES
Sm 150.36 Sm.upf
Dy 162.50 Dy.upf
Zn 65.41 Zn.upf
Ge 72.64 Ge.upf
ATOMIC_POSITIONS crystal
Sm 0.0000 0.0000 0.0000
Dy 0.5000 0.2823 0.2823
Zn 0.5000 0.5715 0.5715
Ge 0.0000 0.7199 0.7199
CELL_PARAMETERS angstrom
4.1306 0.0000 0.0000
0.0000 2.1189 5.5272
0.0000 -2.1189 5.5272

***

b.
! SmDyZnGe, relaxed, DFT GGA-PBE; values from VASP
! - Size of the total moment: 0.00 μB/f.u.
&SYSTEM
  ibrav = 0, nat = 4, ntyp = 4
/
ATOMIC_SPECIES
Sm 150.36 Sm.upf
Dy 162.50 Dy.upf
Zn 65.41 Zn.upf
Ge 72.64 Ge.upf
ATOMIC_POSITIONS crystal
Sm 0.0000 0.0000 0.0000
Dy 0.5000 0.5000 0.5000
Zn 0.7500 0.7500 0.7500
Ge 0.2500 0.2500 0.2500
CELL_PARAMETERS angstrom
0.0000 3.5877 3.5877
3.5877 0.0000 3.5877
3.5877 3.5877 0.0000

***

Least stable = b

***

a.
! Tb2DyGe2, relaxed, DFT GGA-PBE; values from VASP
! - Size of the total moment: 0.00 μB/f.u.
&SYSTEM
  ibrav = 0, nat = 10, ntyp = 3
/
ATOMIC_SPECIES
Tb 158.93 Tb.upf
Dy 162.50 Dy.upf
Ge 72.64 Ge.upf
ATOMIC_POSITIONS crystal
Tb 0.0168 0.0168 0.1863
Tb 0.1818 0.1818 0.5857
Tb 0.8182 0.8182 0.4143
Tb 0.9832 0.9832 0.8137
Dy 0.2824 0.2824 0.1428
Dy 0.7176 0.7176 0.8572
Ge 0.3822 0.3822 0.9353
Ge 0.4704 0.4704 0.6069
Ge 0.5296 0.5296 0.3931
Ge 0.6178 0.6178 0.0647
CELL_PARAMETERS angstrom
6.1451 -2.1916 0.0000
6.1451 2.1916 0.0000
-4.7563 0.0000 9.3567

***

b.
! Tb2DyGe2, relaxed, DFT GGA-PBE; values from VASP
! - Size of the total moment: 0.00 μB/f.u.
&SYSTEM
  ibrav = 0, nat = 10, ntyp = 3
/
ATOMIC_SPECIES
Tb 158.93 Tb.upf
Dy 162.50 Dy.upf
Ge 72.64 Ge.upf
ATOMIC_POSITIONS crystal
Tb 0.1731 0.3269 0.0000
Tb 0.3269 0.8269 0.0000
Tb 0.6731 0.1731 0.0000
Tb 0.8269 0.6731 0.0000
Dy 0.0000 0.0000 0.5000
Dy 0.5000 0.5000 0.5000
Ge 0.1245 0.6245 0.5000
Ge 0.3755 0.1245 0.5000
Ge 0.6245 0.8755 0.5000
Ge 0.8755 0.3755 0.5000
CELL_PARAMETERS angstrom
7.6113 0.0000 0.0000
0.0000 7.6113 0.0000
0.0000 0.0000 4.2584

***

Least stable = a

***

a.
! TbDy2Ge2, relaxed, DFT GGA-PBE; values from VASP
! - Size of the total moment: 0.00 μB/f.u.
&SYSTEM
  ibrav = 0, nat = 10, ntyp = 3
/
ATOMIC_SPECIES
Tb 158.93 Tb.upf
Dy 162.50 Dy.upf
Ge 72.64 Ge.upf
ATOMIC_POSITIONS crystal
Tb 0.2161 0.2161 0.3538
Tb 0.7839 0.7839 0.6462
Dy 0.3159 0.3159 0.9154
Dy 0.4833 0.4833 0.3145
Dy 0.5167 0.5167 0.6855
Dy 0.6841 0.6841 0.0846
Ge 0.0342 0.0342 0.8948
Ge 0.1179 0.1179 0.5651
Ge 0.8821 0.8821 0.4349
Ge 0.9658 0.9658 0.1052
CELL_PARAMETERS angstrom
6.1554 -2.1970 0.0000
6.1554 2.1970 0.0000
-4.7824 0.0000 9.2651

***

b.
! TbDy2Ge2, relaxed, DFT GGA-PBE; values from VASP
! - Size of the total moment: 0.00 μB/f.u.
&SYSTEM
  ibrav = 0, nat = 10, ntyp = 3
/
ATOMIC_SPECIES
Tb 158.93 Tb.upf
Dy 162.50 Dy.upf
Ge 72.64 Ge.upf
ATOMIC_POSITIONS crystal
Tb 0.0000 0.0000 0.0000
Tb 0.5000 0.5000 0.0000
Dy 0.1727 0.3273 0.5000
Dy 0.3273 0.8273 0.5000
Dy 0.6727 0.1727 0.5000
Dy 0.8273 0.6727 0.5000
Ge 0.1247 0.6247 0.0000
Ge 0.3753 0.1247 0.0000
Ge 0.6247 0.8753 0.0000
Ge 0.8753 0.3753 0.0000
CELL_PARAMETERS angstrom
7.6208 0.0000 0.0000
0.0000 7.6208 0.0000
0.0000 0.0000 4.2267

***

Least stable = a

***

a.
! DyTcGe, relaxed, DFT GGA-PBE; values from VASP
! - Size of the total moment: 0.00 μB/f.u.
&SYSTEM
  ibrav = 0, nat = 6, ntyp = 3
/
ATOMIC_SPECIES
Dy 162.50 Dy.upf
Tc 98.00 Tc.upf
Ge 72.64 Ge.upf
ATOMIC_POSITIONS crystal
Dy 0.1595 0.1595 0.0000
Dy 0.8405 0.8405 0.0000
Tc 0.0000 0.5000 0.5000
Tc 0.5000 0.0000 0.5000
Ge 0.3813 0.3813 0.0000
Ge 0.6187 0.6187 0.0000
CELL_PARAMETERS angstrom
-2.0390 2.0390 7.1381
2.0390 -2.0390 7.1381
2.0390 2.0390 -7.1381

***

b.
! DyTcGe, relaxed, DFT GGA-PBE; values from VASP
! - Size of the total moment: 0.00 μB/f.u.
&SYSTEM
  ibrav = 0, nat = 6, ntyp = 3
/
ATOMIC_SPECIES
Dy 162.50 Dy.upf
Tc 98.00 Tc.upf
Ge 72.64 Ge.upf
ATOMIC_POSITIONS crystal
Dy 0.2500 0.2500 0.1604
Dy 0.7500 0.7500 0.8396
Tc 0.2500 0.7500 0.5000
Tc 0.7500 0.2500 0.5000
Ge 0.2500 0.2500 0.7273
Ge 0.7500 0.7500 0.2727
CELL_PARAMETERS angstrom
4.0224 0.0000 0.0000
0.0000 4.0224 0.0000
0.0000 0.0000 7.2877

***

c.
! DyTcGe, relaxed, DFT GGA-PBE; values from VASP
! - Size of the total moment: 0.00 μB/f.u.
&SYSTEM
  ibrav = 0, nat = 3, ntyp = 3
/
ATOMIC_SPECIES
Dy 162.50 Dy.upf
Tc 98.00 Tc.upf
Ge 72.64 Ge.upf
ATOMIC_POSITIONS crystal
Dy 0.0000 0.0000 0.0000
Tc 0.6667 0.3333 0.5000
Ge 0.3333 0.6667 0.5000
CELL_PARAMETERS angstrom
4.3295 0.0000 0.0000
-2.1647 3.7494 0.0000
0.0000 0.0000 3.7079

***

Least stable = c

***

a.
! DyTc2Ge2, relaxed, DFT GGA-PBE; values from VASP
! - Size of the total moment: 0.00 μB/f.u.
&SYSTEM
  ibrav = 0, nat = 10, ntyp = 3
/
ATOMIC_SPECIES
Dy 162.50 Dy.upf
Tc 98.00 Tc.upf
Ge 72.64 Ge.upf
ATOMIC_POSITIONS crystal
Dy 0.3407 0.0907 0.2500
Dy 0.6593 0.9093 0.7500
Tc 0.0367 0.7867 0.2500
Tc 0.4643 0.7143 0.7500
Tc 0.5357 0.2857 0.2500
Tc 0.9633 0.2133 0.7500
Ge 0.1056 0.3556 0.7500
Ge 0.2209 0.4709 0.7500
Ge 0.7791 0.5291 0.2500
Ge 0.8944 0.6444 0.2500
CELL_PARAMETERS angstrom
-2.0722 2.0782 10.7472
2.0722 -2.0782 10.7472
2.0722 2.0782 -10.7472

***

b.
! DyTc2Ge2, relaxed, DFT GGA-PBE; values from VASP
! - Size of the total moment: 0.00 μB/f.u.
&SYSTEM
  ibrav = 0, nat = 10, ntyp = 3
/
ATOMIC_SPECIES
Dy 162.50 Dy.upf
Tc 98.00 Tc.upf
Ge 72.64 Ge.upf
ATOMIC_POSITIONS crystal
Dy 0.1250 0.8750 0.7500
Dy 0.8750 0.1250 0.2500
Tc 0.2652 0.5152 0.0309
Tc 0.4848 0.7348 0.4691
Tc 0.5152 0.2652 0.5309
Tc 0.7348 0.4848 0.9691
Ge 0.1794 0.8206 0.2500
Ge 0.4294 0.5706 0.7500
Ge 0.5706 0.4294 0.2500
Ge 0.8206 0.1794 0.7500
CELL_PARAMETERS angstrom
2.7795 -5.0842 0.0000
2.7795 5.0842 0.0000
-2.7722 0.0000 6.8639

***

Least stable = b

***

a.
! DyTc3Ge3, relaxed, DFT GGA-PBE; values from VASP
! - Size of the total moment: 2.62 μB/f.u.
&SYSTEM
  ibrav = 0, nat = 14, ntyp = 3
/
ATOMIC_SPECIES
Dy 162.50 Dy.upf
Tc 98.00 Tc.upf
Ge 72.64 Ge.upf
ATOMIC_POSITIONS crystal
Dy 0.0000 0.0000 0.0000
Dy 0.5000 0.5000 0.5000
Tc 0.0000 0.2500 0.5000
Tc 0.0000 0.7500 0.5000
Tc 0.2500 0.5000 0.0000
Tc 0.5000 0.0000 0.2500
Tc 0.5000 0.0000 0.7500
Tc 0.7500 0.5000 0.0000
Ge 0.0000 0.5000 0.2500
Ge 0.0000 0.5000 0.7500
Ge 0.2500 0.0000 0.5000
Ge 0.5000 0.2500 0.0000
Ge 0.5000 0.7500 0.0000
Ge 0.7500 0.0000 0.5000
CELL_PARAMETERS angstrom
6.7602 0.0000 0.0000
0.0000 6.7602 0.0000
0.0000 0.0000 6.7602

***

b.
! DyTc3Ge3, relaxed, DFT GGA-PBE; values from VASP
! - Size of the total moment: 0.00 μB/f.u.
&SYSTEM
  ibrav = 0, nat = 14, ntyp = 3
/
ATOMIC_SPECIES
Dy 162.50 Dy.upf
Tc 98.00 Tc.upf
Ge 72.64 Ge.upf
ATOMIC_POSITIONS crystal
Dy 0.3333 0.6667 0.2500
Dy 0.6667 0.3333 0.7500
Tc 0.0521 0.2132 0.2500
Tc 0.1611 0.9479 0.2500
Tc 0.2132 0.1611 0.7500
Tc 0.7868 0.8389 0.2500
Tc 0.8389 0.0521 0.7500
Tc 0.9479 0.7868 0.7500
Ge 0.0883 0.4041 0.7500
Ge 0.3158 0.9117 0.7500
Ge 0.4041 0.3158 0.2500
Ge 0.5959 0.6842 0.7500
Ge 0.6842 0.0883 0.2500
Ge 0.9117 0.5959 0.2500
CELL_PARAMETERS angstrom
8.1821 0.0000 0.0000
-4.0911 7.0859 0.0000
0.0000 0.0000 4.4206

***

Least stable = a